# PuMn2C3 | Alexandria via LeMat-Bulk | PBE | optimized geometry
# Magnetization = 13.7 μB per cell
# E = -239.34 eV per cell
# ΔE_f = 0.5 eV per formula unit
# Density = 9.02 g cm⁻³
data_PuMn2C3
_cell_length_a 6.596
_cell_length_b 8.984
_cell_length_c 4.844
_cell_angle_alpha 90.00
_cell_angle_beta 90.00
_cell_angle_gamma 90.00
_symmetry_space_group_name_H-M 'C m c m'
_symmetry_Int_Tables_number 63
_symmetry_space_group_name_Hall '-C 2c 2'
loop_
_atom_site_label
_atom_site_fract_x
_atom_site_fract_y
_atom_site_fract_z
Pu1 0.000 0.207 0.250
Mn1 0.188 0.500 0.000
C1 0.000 0.411 0.750
C2 0.106 0.074 0.750